# 1
Compound: KAg2As
Source: the Alexandria database
Functional: PBE
Structure: optimized geometry

## Properties
- Magnetic moment: 0.0 μB/f.u.
- Formation enthalpy at 0 K: 128 kJ/mol of formula units

abc: 10.109 10.109 10.109
angles: 19.03 19.03 19.03
Positions (direct):
Ag1 0.984 0.984 0.984
As1 0.250 0.250 0.250
Ag2 0.516 0.516 0.516
K1 0.750 0.750 0.750

=====

# 2
Compound: Zn2Cu7Ir2
Source: the Alexandria database
Functional: PBE
Structure: optimized geometry

## Properties
- Magnetic moment: 0.0 μB/f.u.
- E above lowest polymorph: 0 meV/atom
- Formation enthalpy at 0 K: 94 kJ/mol of formula units

abc: 5.921 5.126 5.126
angles: 102.37 99.79 99.79
Positions (direct):
Cu1 0.166 0.902 0.449
Cu2 0.159 0.404 0.404
Cu3 0.166 0.449 0.902
Cu4 0.834 0.098 0.551
Ir1 0.483 0.199 0.199
Ir2 0.517 0.801 0.801
Cu5 0.841 0.596 0.596
Zn1 0.500 0.720 0.280
Zn2 0.500 0.280 0.720
Cu6 0.000 0.000 0.000
Cu7 0.834 0.551 0.098

=====

# 3
Compound: CsMnAsBr2
Source: the Alexandria database
Functional: PBE
Structure: optimized geometry

## Properties
- Raw formation energy: -625 meV per atom
- Magnetic moment: 3.0 μB/f.u.

abc: 5.689 5.689 4.810
angles: 90.00 90.00 90.00
Positions (direct):
Cs1 0.500 0.500 0.500
Br1 0.500 0.000 0.000
Mn1 0.000 0.000 0.000
As1 0.000 0.000 0.500
Br2 0.000 0.500 0.000

=====

# 4
Compound: BaReP2
Source: the Alexandria database
Functional: PBE
Structure: optimized geometry

## Properties
- Magnetic moment: 0.0 μB/f.u.
- Formation enthalpy at 0 K: -63 kJ/mol of formula units

abc: 7.761 7.761 7.761
angles: 155.93 154.09 35.65
Positions (direct):
Ba1 0.303 0.803 0.500
P1 0.666 0.166 0.500
P2 0.983 0.983 0.000
Re1 0.549 0.549 0.000

=====

# 5
Compound: PrSm2Ga4
Source: the Alexandria database
Functional: PBE
Structure: optimized geometry

## Properties
- Magnetic moment: 0.0 μB/f.u.
- Formation enthalpy at 0 K: -435 kJ/mol of formula units

abc: 4.216 4.396 9.803
angles: 102.96 102.42 90.00
Positions (direct):
Sm1 0.184 0.184 0.368
Ga1 0.645 0.645 0.290
Ga2 0.355 0.355 0.710
Ga3 0.933 0.433 0.867
Sm2 0.816 0.816 0.632
Ga4 0.067 0.567 0.133
Pr1 0.500 0.000 0.000

=====

# 6
Compound: DyCd4Ni
Source: the Alexandria database
Functional: PBE
Structure: optimized geometry

## Properties
- Magnetic moment: 0.0 μB/f.u.
- Formation enthalpy at 0 K: -47 kJ/mol of formula units

abc: 5.325 6.971 8.297
angles: 114.84 108.73 90.00
Positions (direct):
Ni1 0.275 0.500 0.000
Cd1 0.615 0.341 0.231
Ni2 0.725 0.500 0.000
Cd2 0.615 0.890 0.231
Cd3 0.000 0.805 0.000
Cd4 0.385 0.110 0.769
Dy1 0.206 0.207 0.413
Cd5 0.000 0.195 0.000
Cd6 0.834 0.334 0.668
Dy2 0.794 0.793 0.587
Cd7 0.166 0.666 0.332
Cd8 0.385 0.659 0.769

=====

# 7
Compound: NdAgPt
Source: the Alexandria database
Functional: PBE
Structure: optimized geometry

## Properties
- Magnetic moment: 0.0 μB/f.u.
- E above lowest polymorph: 141 meV/atom
- Formation enthalpy at 0 K: -178 kJ/mol of formula units

abc: 4.763 4.763 4.763
angles: 60.00 60.00 60.00
Positions (direct):
Ag1 0.000 0.000 0.000
Pt1 0.250 0.250 0.250
Nd1 0.500 0.500 0.500

=====

# 8
Compound: KNaAl6Si6H4O24
Source: the Alexandria database
Functional: PBE
Structure: optimized geometry

## Properties
- Magnetic moment: 0.0 μB/f.u.
- E_tot: -7.1228 eV/atom

abc: 5.214 9.052 20.198
angles: 90.00 93.39 90.00
Positions (direct):
Si1 0.397 0.760 0.391
O1 0.249 0.189 0.099
Al1 0.919 0.262 0.392
O2 0.433 0.451 0.311
H1 0.396 0.856 0.812
O3 0.983 0.056 0.798
O4 0.567 0.451 0.689
O5 0.768 0.609 0.914
Si2 0.969 0.068 0.879
Al2 0.779 0.586 0.744
H2 0.340 0.145 0.325
O6 0.307 0.809 0.587
O7 0.155 0.252 0.694
Al3 0.721 0.086 0.258
O8 0.976 0.437 0.793
H3 0.832 0.654 0.315
Al4 0.274 0.416 0.743
H4 0.604 0.856 0.188
Si3 0.543 0.241 0.122
O9 0.288 0.692 0.902
O10 0.154 0.089 0.573
O11 0.514 0.550 0.202
O12 0.232 0.609 0.086
O13 0.247 0.132 0.912
H5 0.168 0.654 0.685
O14 0.712 0.692 0.098
O15 0.414 0.404 0.912
O16 0.102 0.750 0.206
Si4 0.563 0.434 0.607
O17 0.017 0.056 0.202
O18 0.580 0.059 0.694
O19 0.898 0.750 0.794
O20 0.811 0.870 0.576
O21 0.916 0.913 0.915
Si5 0.031 0.068 0.121
O22 0.721 0.396 0.427
O23 0.279 0.396 0.573
O24 0.353 0.752 0.311
O25 0.693 0.809 0.413
Si6 0.092 0.933 0.608
Al5 0.777 0.915 0.744
O26 0.486 0.550 0.798
O27 0.420 0.059 0.306
O28 0.759 0.305 0.586
O29 0.652 0.596 0.576
O30 0.922 0.564 0.306
Na1 0.500 0.150 0.500
O31 0.586 0.404 0.088
Si7 0.512 0.567 0.120
Si8 0.603 0.760 0.609
O32 0.846 0.089 0.427
K1 0.000 0.407 0.000
Si9 0.908 0.933 0.392
O33 0.751 0.189 0.901
Al6 0.081 0.262 0.608
K2 0.500 0.886 0.000
O34 0.845 0.252 0.306
O35 0.589 0.248 0.202
O36 0.477 0.942 0.793
Si10 0.457 0.241 0.878
O37 0.348 0.596 0.424
Al7 0.223 0.915 0.256
O38 0.024 0.437 0.207
Si11 0.488 0.567 0.880
Na2 0.000 0.555 0.500
H6 0.884 0.346 0.801
O39 0.926 0.946 0.311
O40 0.189 0.870 0.424
O41 0.241 0.305 0.414
O42 0.411 0.248 0.798
Al8 0.726 0.416 0.257
Al9 0.221 0.586 0.256
O43 0.084 0.913 0.085
Si12 0.437 0.434 0.393
O44 0.523 0.942 0.207
O45 0.753 0.132 0.088
Al10 0.030 0.738 0.120
O46 0.647 0.752 0.689
Al11 0.279 0.086 0.742
O47 0.078 0.564 0.694
H7 0.660 0.145 0.675
O48 0.074 0.946 0.689
Al12 0.970 0.738 0.880
H8 0.116 0.346 0.199

=====

# 9
Compound: SeIF
Source: the Alexandria database
Functional: PBE
Structure: optimized geometry

## Properties
- Raw formation energy: -545 meV per atom
- Magnetic moment: 0.0 μB/f.u.
- E above lowest polymorph: 4 meV/atom

abc: 4.544 6.103 9.244
angles: 118.40 90.31 111.62
Positions (direct):
I1 0.818 0.339 0.037
F1 0.254 0.872 0.109
I2 0.920 0.276 0.517
F2 0.481 0.743 0.445
Se1 0.299 0.779 0.638
Se2 0.438 0.837 0.916

=====

# 10
Compound: La3Nd2Dy6Sc
Source: the Alexandria database
Functional: PBE
Structure: optimized geometry

## Properties
- Magnetic moment: 0.0 μB/f.u.
- Formation enthalpy at 0 K: 32 kJ/mol of formula units

abc: 6.221 6.221 11.880
angles: 95.01 95.01 120.03
Positions (direct):
Dy1 0.081 0.411 0.245
Dy2 0.589 0.919 0.755
Nd1 0.334 0.666 0.000
La1 0.500 0.500 0.500
La2 0.167 0.833 0.500
La3 0.833 0.167 0.500
Sc1 0.000 0.000 0.000
Dy3 0.249 0.249 0.755
Nd2 0.666 0.334 0.000
Dy4 0.751 0.751 0.245
Dy5 0.919 0.589 0.755
Dy6 0.411 0.081 0.245

=====

# 11
Compound: LiRu2Cl
Source: the Alexandria database
Functional: PBE
Structure: optimized geometry

## Properties
- Raw formation energy: 228 meV per atom
- Magnetic moment: 1.2 μB/f.u.
- E above lowest polymorph: 285 meV/atom

abc: 2.861 2.861 8.368
angles: 90.00 90.00 118.95
Positions (direct):
Li1 0.500 0.500 0.726
Ru1 0.500 0.500 0.253
Cl1 0.000 0.000 0.518
Ru2 0.000 0.000 0.004

=====

# 12
Compound: In4SbTe3
Source: the Alexandria database
Functional: PBE
Structure: optimized geometry

## Properties
- Raw formation energy: -225 meV per atom
- Magnetic moment: 0.0 μB/f.u.

abc: 6.230 6.230 7.633
angles: 65.91 65.91 90.00
Positions (direct):
In1 0.996 0.496 0.008
Te1 0.500 0.500 0.000
Te2 0.250 0.750 0.500
In2 0.504 0.004 0.992
Sb1 0.750 0.250 0.500
In3 0.750 0.750 0.500
In4 0.250 0.250 0.500
Te3 0.000 0.000 0.000